Below is a relaxed structure of Sc4InHgO, with properties calculated at the GGA-PBE level.

a b c (Å): 8.117 8.117 6.154
angles (deg): 90.00 90.00 135.45
Fractional coordinates of all 14 atoms:
Sc 0.000 0.500 0.000
Sc 0.000 0.500 0.500
Sc 0.079 0.921 0.750
Sc 0.413 0.587 0.750
Sc 0.500 0.000 0.000
Sc 0.500 0.000 0.500
Sc 0.587 0.413 0.250
Sc 0.921 0.079 0.250
In 0.390 0.610 0.250
In 0.610 0.390 0.750
Hg 0.114 0.886 0.250
Hg 0.886 0.114 0.750
O 0.251 0.749 0.750
O 0.749 0.251 0.250

space-group type = Cmcm
total energy = -40.95 eV per formula unit

Below is a relaxed structure of InHgSeO5, with properties calculated at the GGA-PBE level.

a b c (Å): 6.122 6.122 7.667
angles (deg): 105.88 105.88 102.96
Fractional coordinates of all 16 atoms:
In 0.000 0.000 0.000
In 0.000 0.000 0.500
Hg 0.318 0.682 0.750
Hg 0.682 0.318 0.250
Se 0.323 0.677 0.250
Se 0.677 0.323 0.750
O 0.079 0.921 0.750
O 0.128 0.683 0.372
O 0.258 0.396 0.092
O 0.317 0.872 0.128
O 0.396 0.258 0.592
O 0.604 0.742 0.408
O 0.683 0.128 0.872
O 0.742 0.604 0.908
O 0.872 0.317 0.628
O 0.921 0.079 0.250

space-group type = C2/c
total energy = -37.08 eV per formula unit

Below is a relaxed structure of Sm4InHgO, with properties calculated at the GGA-PBE level.

a b c (Å): 8.819 8.819 6.774
angles (deg): 90.00 90.00 134.92
Fractional coordinates of all 14 atoms:
Sm 0.000 0.500 0.000
Sm 0.000 0.500 0.500
Sm 0.071 0.929 0.750
Sm 0.419 0.581 0.750
Sm 0.500 0.000 0.000
Sm 0.500 0.000 0.500
Sm 0.581 0.419 0.250
Sm 0.929 0.071 0.250
In 0.388 0.612 0.250
In 0.612 0.388 0.750
Hg 0.117 0.883 0.250
Hg 0.883 0.117 0.750
O 0.253 0.747 0.750
O 0.747 0.253 0.250

space-group type = Cmcm
total energy = -34.25 eV per formula unit

Below is a relaxed structure of Sm12In4HgO3, with properties calculated at the GGA-PBE level.

a b c (Å): 8.854 8.854 8.854
angles (deg): 109.47 109.47 109.47
Fractional coordinates of all 20 atoms:
Sm 0.000 0.273 0.273
Sm 0.000 0.727 0.727
Sm 0.250 0.500 0.750
Sm 0.250 0.750 0.500
Sm 0.273 0.000 0.273
Sm 0.273 0.273 0.000
Sm 0.500 0.250 0.750
Sm 0.500 0.750 0.250
Sm 0.727 0.000 0.727
Sm 0.727 0.727 0.000
Sm 0.750 0.250 0.500
Sm 0.750 0.500 0.250
In 0.000 0.000 0.500
In 0.000 0.500 0.000
In 0.500 0.000 0.000
In 0.500 0.500 0.500
Hg 0.000 0.000 0.000
O 0.000 0.500 0.500
O 0.500 0.000 0.500
O 0.500 0.500 0.000

space-group type = Im-3m
total energy = -102.29 eV per formula unit

Below is a relaxed structure of TbIn4HgO8, with properties calculated at the GGA-PBE level.

a b c (Å): 6.757 6.757 6.757
angles (deg): 58.97 58.97 58.97
Fractional coordinates of all 14 atoms:
Tb 0.000 0.000 0.000
In 0.498 0.999 0.999
In 0.624 0.624 0.624
In 0.999 0.498 0.999
In 0.999 0.999 0.498
Hg 0.372 0.372 0.372
O 0.222 0.754 0.754
O 0.232 0.232 0.232
O 0.238 0.238 0.794
O 0.238 0.794 0.238
O 0.754 0.222 0.754
O 0.754 0.754 0.222
O 0.761 0.761 0.761
O 0.794 0.238 0.238

space-group type = R3m
total energy = -78.67 eV per formula unit

Below is a relaxed structure of InTcHgO6, with properties calculated at the GGA-PBE level.

a b c (Å): 5.190 5.504 5.597
angles (deg): 60.64 83.16 75.95
Fractional coordinates of all 9 atoms:
In 0.000 0.000 0.000
Tc 0.997 0.655 0.690
Hg 0.497 0.322 0.355
O 0.198 0.897 0.686
O 0.216 0.660 0.350
O 0.227 0.335 0.918
O 0.767 0.750 0.916
O 0.780 0.988 0.350
O 0.800 0.415 0.686

space-group type = P1
total energy = -52.08 eV per formula unit